(1)
An optimized crystal structure of Li3PmAu, computed with PBE-GGA.

Computed properties:
Total energy ... -30.49 eV per cell

Cell: 5.744 5.743 7.314 Å, 90.00 112.76 90.00°
Space group Cm (No. 8)
Inequivalent atoms, fractional coordinates:
Li1 0.000 0.000 0.000 x2
Li2 0.408 0.249 0.310 x4
Pm1 0.375 0.000 0.747 x2
Au1 0.298 0.500 0.592 x2

---

(2)
An optimized crystal structure of Li2PmAu6, computed with PBE-GGA.

Computed properties:
Total energy ... -64.45 eV per cell
Offset from the most stable computed form ... 57 meV per atom

Cell: 3.214 8.048 13.881 Å, 90.00 90.00 90.00°
Space group Immm (No. 71)
Inequivalent atoms, fractional coordinates:
Li1 0.000 0.000 0.143 x4
Pm1 0.000 0.500 0.000 x2
Au1 0.000 0.174 0.322 x8
Au2 0.000 0.331 0.500 x4

---

(3)
An optimized crystal structure of Li2PmAu6, computed with PBE-GGA.

Computed properties:
Total energy ... -130.94 eV per cell
Offset from the most stable computed form ... 0 meV per atom

Cell: 9.633 13.674 5.125 Å, 90.00 90.97 90.00°
Space group C2/c (No. 15)
Inequivalent atoms, fractional coordinates:
Li1 0.189 0.092 0.495 x8
Pm1 0.000 0.303 0.250 x4
Au1 0.081 0.091 0.002 x8
Au2 0.130 0.458 0.878 x8
Au3 0.178 0.259 0.744 x8

---

(4)
An optimized crystal structure of Li5Pm2Au5, computed with PBE-GGA.

Computed properties:
Total energy ... -42.28 eV per cell

Cell: 4.555 5.303 9.627 Å, 90.00 90.00 90.00°
Space group Pmmm (No. 47)
Inequivalent atoms, fractional coordinates:
Li1 0.000 0.000 0.000 x1
Li2 0.000 0.253 0.255 x4
Pm1 0.500 0.000 0.500 x1
Pm2 0.500 0.500 0.000 x1
Au1 0.000 0.500 0.500 x1
Au2 0.500 0.000 0.168 x2
Au3 0.500 0.500 0.318 x2

---

(5)
An optimized crystal structure of Li3Pm2Au4, computed with PBE-GGA.

Computed properties:
Total energy ... -135.21 eV per cell

Cell: 5.907 15.554 7.904 Å, 90.00 90.00 90.00°
Space group Cmce (No. 64)
Inequivalent atoms, fractional coordinates:
Li1 0.000 0.000 0.000 x4
Li2 0.250 0.215 0.250 x8
Pm1 0.000 0.115 0.585 x8
Au1 0.000 0.186 0.960 x8
Au2 0.250 0.046 0.250 x8

---

(6)
An optimized crystal structure of Li2Pm3Au3, computed with PBE-GGA.

Computed properties:
Total energy ... -65.52 eV per cell

Cell: 8.7930 8.7930 5.7147 Å, 90.00 90.00 120.00°
Space group P6_3/mcm (No. 193)
Inequivalent atoms, fractional coordinates:
Li1 0.3333 0.6667 0.0000 x4
Pm1 0.0000 0.2595 0.2500 x6
Au1 0.0000 0.3968 0.7500 x6

---

(7)
An optimized crystal structure of Li2PmAu4, computed with PBE-GGA.

Computed properties:
Total energy ... -52.58 eV per cell

Cell: 7.134 7.134 5.294 Å, 90.00 90.00 90.00°
Space group I4/mmm (No. 139)
Inequivalent atoms, fractional coordinates:
Li1 0.000 0.500 0.250 x4
Pm1 0.000 0.000 0.000 x2
Au1 0.200 0.200 0.500 x8

---

(8)
An optimized crystal structure of LiPm2Au, computed with PBE-GGA.

Computed properties:
Total energy ... -64.23 eV per cell
Offset from the most stable computed form ... 26 meV per atom

Cell: 7.414 7.414 7.414 Å, 90.00 90.00 90.00°
Space group Fm-3m (No. 225)
Inequivalent atoms, fractional coordinates:
Li1 0.000 0.000 0.000 x4
Pm1 0.250 0.250 0.250 x8
Au1 0.000 0.000 0.500 x4

---

(9)
An optimized crystal structure of LiPm2Au, computed with PBE-GGA.

Computed properties:
Total energy ... -16.16 eV per cell
Offset from the most stable computed form ... 0 meV per atom

Cell: 5.163 5.163 3.798 Å, 90.00 90.00 90.00°
Space group P4/mmm (No. 123)
Inequivalent atoms, fractional coordinates:
Li1 0.000 0.000 0.000 x1
Pm1 0.000 0.500 0.500 x2
Au1 0.500 0.500 0.000 x1

---

(10)
An optimized crystal structure of Li4PmAu4, computed with PBE-GGA.

Computed properties:
Total energy ... -59.34 eV per cell

Cell: 6.395 6.395 8.381 Å, 90.00 90.00 90.00°
Space group P4_2/nmc (No. 137, origin choice 2)
Inequivalent atoms, fractional coordinates:
Li1 0.009 0.250 0.145 x8
Pm1 0.250 0.750 0.250 x2
Au1 0.032 0.250 0.456 x8

---

(11)
An optimized crystal structure of LiPm2Au2, computed with PBE-GGA.

Computed properties:
Total energy ... -42.40 eV per cell
Offset from the most stable computed form ... 0 meV per atom

Cell: 8.041 8.041 3.931 Å, 90.00 90.00 90.00°
Space group P4/mbm (No. 127)
Inequivalent atoms, fractional coordinates:
Li1 0.000 0.000 0.000 x2
Pm1 0.164 0.336 0.500 x4
Au1 0.136 0.636 0.000 x4

---

(12)
An optimized crystal structure of Li2Pm5Au5, computed with PBE-GGA.

Computed properties:
Total energy ... -100.75 eV per cell

Cell: 14.217 3.863 11.053 Å, 90.00 92.99 90.00°
Space group C2/m (No. 12)
Inequivalent atoms, fractional coordinates:
Li1 0.047 0.000 0.286 x4
Pm1 0.000 0.500 0.000 x2
Pm2 0.149 0.500 0.595 x4
Pm3 0.214 0.000 0.120 x4
Au1 0.000 0.000 0.500 x2
Au2 0.119 0.000 0.842 x4
Au3 0.189 0.500 0.326 x4

---

(13)
An optimized crystal structure of LiPmAu3, computed with PBE-GGA.

Computed properties:
Total energy ... -76.20 eV per cell

Cell: 22.317 4.225 4.469 Å, 90.00 101.20 90.00°
Space group C2/m (No. 12)
Inequivalent atoms, fractional coordinates:
Li1 0.147 0.000 0.399 x4
Pm1 0.093 0.500 0.845 x4
Au1 0.035 0.000 0.284 x4
Au2 0.200 0.000 0.950 x4
Au3 0.202 0.500 0.452 x4

---

(14)
An optimized crystal structure of Li2PmAu3, computed with PBE-GGA.

Computed properties:
Total energy ... -44.50 eV per cell

Cell: 4.5173 4.5173 13.1931 Å, 90.00 90.00 120.00°
Space group P6_3/mmc (No. 194)
Inequivalent atoms, fractional coordinates:
Li1 0.3333 0.6667 0.0684 x4
Pm1 0.0000 0.0000 0.2500 x2
Au1 0.0000 0.0000 0.0000 x2
Au2 0.3333 0.6667 0.6290 x4

---

(15)
An optimized crystal structure of Li12PmAu6, computed with PBE-GGA.

Computed properties:
Total energy ... -162.69 eV per cell

Cell: 11.2674 11.2674 9.6949 Å, 90.00 90.00 120.00°
Space group R-3m (No. 166, hexagonal axes)
Inequivalent atoms, fractional coordinates:
Li1 0.0000 0.3902 0.0000 x18
Li2 0.0921 0.1843 0.8579 x18
Pm1 0.0000 0.0000 0.5000 x3
Au1 0.0045 0.5022 0.2340 x18

---

(16)
An optimized crystal structure of Li2PmAu, computed with PBE-GGA.

Computed properties:
Total energy ... -53.81 eV per cell
Offset from the most stable computed form ... 0 meV per atom

Cell: 4.135 10.397 8.218 Å, 90.00 90.00 90.00°
Space group Cmcm (No. 63)
Inequivalent atoms, fractional coordinates:
Li1 0.000 0.158 0.053 x8
Pm1 0.000 0.442 0.250 x4
Au1 0.000 0.269 0.750 x4

---

(17)
An optimized crystal structure of Li4Pm3Au4, computed with PBE-GGA.

Computed properties:
Total energy ... -82.94 eV per cell
Offset from the most stable computed form ... 0 meV per atom

Cell: 4.148 7.865 14.498 Å, 90.00 90.00 90.00°
Space group Immm (No. 71)
Inequivalent atoms, fractional coordinates:
Li1 0.000 0.193 0.177 x8
Pm1 0.000 0.000 0.378 x4
Pm2 0.000 0.500 0.500 x2
Au1 0.000 0.304 0.000 x4
Au2 0.000 0.500 0.280 x4

---

(18)
An optimized crystal structure of LiPm6Au5, computed with PBE-GGA.

Computed properties:
Total energy ... -109.59 eV per cell

Cell: 5.172 7.427 15.834 Å, 90.00 90.00 90.00°
Space group Immm (No. 71)
Inequivalent atoms, fractional coordinates:
Li1 0.000 0.000 0.000 x2
Pm1 0.000 0.239 0.500 x4
Pm2 0.000 0.252 0.170 x8
Au1 0.000 0.000 0.330 x4
Au2 0.000 0.500 0.000 x2
Au3 0.000 0.500 0.355 x4

---

(19)
An optimized crystal structure of LiPmAu6, computed with PBE-GGA.

Computed properties:
Total energy ... -29.68 eV per cell

Cell: 4.365 4.365 8.102 Å, 90.00 90.00 90.00°
Space group P4/mmm (No. 123)
Inequivalent atoms, fractional coordinates:
Li1 0.000 0.000 0.000 x1
Pm1 0.000 0.000 0.500 x1
Au1 0.000 0.500 0.230 x4
Au2 0.500 0.500 0.000 x1
Au3 0.500 0.500 0.500 x1

---

(20)
An optimized crystal structure of Li6Pm3Au5, computed with PBE-GGA.

Computed properties:
Total energy ... -99.21 eV per cell

Cell: 4.125 13.147 10.508 Å, 90.00 90.00 90.00°
Space group Pmmn (No. 59, origin choice 2)
Inequivalent atoms, fractional coordinates:
Li1 0.250 0.066 0.075 x4
Li2 0.250 0.250 0.518 x2
Li3 0.250 0.250 0.924 x2
Li4 0.250 0.598 0.494 x4
Pm1 0.250 0.059 0.745 x4
Pm2 0.250 0.750 0.788 x2
Au1 0.250 0.100 0.340 x4
Au2 0.250 0.632 0.052 x4
Au3 0.250 0.750 0.303 x2

---

Let's list DOS(E_F) in order: 0.4282; 0.4611; 0.3245; 0.4506; 0.6580; 0.8574; 0.5079; 1.1703; 1.0466; 0.4834; 0.8781; 0.9578; 0.4511; 0.5092; 0.3600; 0.7562; 0.6608; 0.6925; 0.2652; 0.5485 states/eV per atom.
Let's list energy of formation in order: -0.30; -0.44; -0.50; -0.57; -0.61; -0.61; -0.66; -0.34; -0.37; -0.46; -0.65; -0.53; -0.51; -0.64; -0.36; -0.40; -0.59; -0.67; -0.42; -0.53 eV per atom.